Below is a relaxed structure of CoAgIr2, with properties calculated at the PBEsol level.

a b c (Å): 2.666 2.666 7.677
angles (deg): 90.00 90.00 90.00
Last column: magnetic moment on the atom in μB.
Atoms (fractional coordinates):
Ir  0.000  0.000  0.718  0.00
Ir  0.000  0.000  0.282  0.00
Co  0.500  0.500  0.500  0.22
Ag  0.500  0.500  0.000  0.00

Summary:
Energy above the most stable polymorph in this dataset in meV per atom: 82
Energy relative to the elements in eV per atom: 0.25



Below is a relaxed structure of KCoAg2, with properties calculated at the PBEsol level.

a b c (Å): 2.748 5.191 5.191
angles (deg): 90.00 90.00 90.00
Last column: magnetic moment on the atom in μB.
Atoms (fractional coordinates):
Ag  0.000  0.000  0.500  -0.02
Ag  0.000  0.500  0.000  -0.02
Co  0.500  0.500  0.500  1.75
K  0.500  0.000  0.000  -0.01

Summary:
Energy above the most stable polymorph in this dataset in meV per atom: 236
Energy relative to the elements in eV per atom: 0.74



Below is a relaxed structure of KCoAg2, with properties calculated at the PBEsol level.

a b c (Å): 3.158 3.053 8.103
angles (deg): 90.00 90.03 90.00
Last column: magnetic moment on the atom in μB.
Atoms (fractional coordinates):
Ag  0.000  0.000  0.822  0.00
Ag  0.000  0.000  0.178  0.00
Co  0.500  0.500  0.000  1.67
K  0.500  0.500  0.500  0.00

Summary:
Energy above the most stable polymorph in this dataset in meV per atom: 0
Energy relative to the elements in eV per atom: 0.51



Below is a relaxed structure of KCo2Ag, with properties calculated at the PBEsol level.

a b c (Å): 2.643 4.969 5.925
angles (deg): 114.80 102.89 90.00
Last column: magnetic moment on the atom in μB.
Atoms (fractional coordinates):
Ag  0.500  0.000  0.000  -0.03
Co  0.777  0.777  0.554  1.80
Co  0.223  0.223  0.446  1.80
K  0.000  0.500  0.000  -0.02

Summary:
Energy above the most stable polymorph in this dataset in meV per atom: 0
Energy relative to the elements in eV per atom: 1.00



Below is a relaxed structure of KCoAg, with properties calculated at the PBEsol level.

a b c (Å): 4.663 4.663 4.663
angles (deg): 60.00 60.00 60.00
Last column: magnetic moment on the atom in μB.
Atoms (fractional coordinates):
Ag  0.500  0.500  0.500  0.02
Co  0.250  0.250  0.250  1.87
K  0.000  0.000  0.000  0.00

Summary:
Energy relative to the elements in eV per atom: 1.24



Below is a relaxed structure of K2CoAg, with properties calculated at the PBEsol level.

a b c (Å): 4.574 5.093 6.105
angles (deg): 114.65 90.00 90.00
Last column: magnetic moment on the atom in μB.
Atoms (fractional coordinates):
Ag  0.000  0.790  0.581  0.01
Co  0.500  0.717  0.434  1.71
K  0.000  0.100  0.201  -0.01
K  0.500  0.400  0.800  -0.01

Summary:
Energy relative to the elements in eV per atom: 0.74



Record order is preserved below.
DOS(E_F): 4.701, 5.000, 3.421, 4.560, 7.265, 5.155 states/eV/f.u.